# PmThV2O8

A geometry-optimized PmThV2O8 structure (PBE with a Hubbard U, Alexandria).

Cell and atoms, written as POSCAR:
```
PmThV2O8
1.0
-2.612 2.612 5.801
2.612 -2.612 5.801
2.612 2.612 -5.801
Pm Th V O
1 1 2 8
Direct
0.000 0.000 0.000
0.250 0.750 0.500
0.500 0.500 0.000
0.750 0.250 0.500
0.273 0.666 0.097
0.334 0.431 0.606
0.406 0.018 0.079
0.569 0.176 0.903
0.673 0.594 0.613
0.824 0.727 0.394
0.939 0.327 0.921
0.982 0.061 0.387
```

Values from the calculation:
* symmetry: No. 82
* crystal system: tetragonal
* energy: -8.336 eV per atom
* magnetization: 1.00 μB per cell